HgSbPb14: optimized geometry, PBE.

Cell: 9.913 7.075 7.075 Å, 92.11 90.00 90.00°
Sites, in units of the cell vectors:
Hg: 0.000 0.000 0.000
Sb: 0.000 0.499 0.499
Pb: 0.000 0.001 0.499
Pb: 0.000 0.499 0.001
Pb: 0.246 0.749 0.749
Pb: 0.247 0.251 0.251
Pb: 0.249 0.250 0.750
Pb: 0.249 0.750 0.250
Pb: 0.500 0.000 0.500
Pb: 0.500 0.500 0.000
Pb: 0.500 0.500 0.500
Pb: 0.500 0.999 0.999
Pb: 0.751 0.250 0.750
Pb: 0.751 0.750 0.250
Pb: 0.753 0.251 0.251
Pb: 0.754 0.749 0.749

formation energy (no corrections) = 0.010 eV/atom


Hg3Sb2Pb6: optimized geometry, PBE.

Cell: 19.384 19.384 19.384 Å, 13.60 13.60 13.60°
Sites, in units of the cell vectors:
Hg: 0.000 0.000 0.000
Hg: 0.277 0.277 0.277
Hg: 0.723 0.723 0.723
Sb: 0.452 0.452 0.452
Sb: 0.548 0.548 0.548
Pb: 0.086 0.086 0.086
Pb: 0.186 0.186 0.186
Pb: 0.360 0.360 0.360
Pb: 0.640 0.640 0.640
Pb: 0.814 0.814 0.814
Pb: 0.914 0.914 0.914

formation energy (no corrections) = 0.065 eV/atom


HgSb2Pb: optimized geometry, PBE.

Cell: 4.090 4.090 6.770 Å, 90.00 90.00 90.00°
Sites, in units of the cell vectors:
Hg: 0.000 0.000 0.000
Sb: 0.500 0.500 0.222
Sb: 0.500 0.500 0.778
Pb: 0.000 0.000 0.500

formation energy (no corrections) = 0.146 eV/atom
excess energy over the best structure of this formula in the dataset = 60 meV per atom


HgSb2Pb: optimized geometry, PBE.

Cell: 6.498 6.498 4.995 Å, 107.33 107.33 37.18°
Sites, in units of the cell vectors:
Hg: 0.000 0.000 0.000
Sb: 0.237 0.237 0.827
Sb: 0.572 0.572 0.511
Pb: 0.811 0.811 0.385

formation energy (no corrections) = 0.087 eV/atom
excess energy over the best structure of this formula in the dataset = 1 meV per atom


HgSb2Pb: optimized geometry, PBE.

Cell: 5.512 5.512 5.512 Å, 122.78 122.78 85.26°
Sites, in units of the cell vectors:
Hg: 0.000 0.000 0.000
Sb: 0.500 0.500 0.000
Sb: 0.750 0.250 0.500
Pb: 0.250 0.750 0.500

formation energy (no corrections) = 0.136 eV/atom
excess energy over the best structure of this formula in the dataset = 50 meV per atom


Hg2SbPb: optimized geometry, PBE.

Cell: 4.675 4.675 5.049 Å, 90.00 90.00 90.00°
Sites, in units of the cell vectors:
Hg: 0.000 0.500 0.000
Hg: 0.500 0.000 0.000
Sb: 0.000 0.000 0.500
Pb: 0.500 0.500 0.500

formation energy (no corrections) = 0.094 eV/atom


HgSb2Pb: optimized geometry, PBE.

Cell: 3.954 3.954 7.490 Å, 90.00 90.00 90.00°
Sites, in units of the cell vectors:
Hg: 0.000 0.000 0.000
Sb: 0.000 0.000 0.526
Sb: 0.500 0.500 0.709
Pb: 0.500 0.500 0.255

formation energy (no corrections) = 0.086 eV/atom
excess energy over the best structure of this formula in the dataset = 0 meV per atom


Hg2SbPb: optimized geometry, PBE.

Cell: 3.366 3.366 10.286 Å, 90.00 90.00 108.71°
Sites, in units of the cell vectors:
Hg: 0.000 0.000 0.243
Hg: 0.000 0.000 0.757
Sb: 0.500 0.500 0.000
Pb: 0.500 0.500 0.500

formation energy (no corrections) = 0.100 eV/atom


HgSb2Pb: optimized geometry, PBE.

Cell: 6.361 6.361 6.361 Å, 137.87 137.87 61.11°
Sites, in units of the cell vectors:
Hg: 0.000 0.000 0.000
Sb: 0.250 0.750 0.500
Sb: 0.750 0.250 0.500
Pb: 0.500 0.500 0.000

formation energy (no corrections) = 0.119 eV/atom
excess energy over the best structure of this formula in the dataset = 33 meV per atom


HgSbPb2: optimized geometry, PBE.

Cell: 3.376 5.563 6.273 Å, 90.00 91.80 90.00°
Sites, in units of the cell vectors:
Hg: 0.000 0.000 0.000
Sb: 0.500 0.000 0.500
Pb: 0.263 0.500 0.753
Pb: 0.737 0.500 0.247

formation energy (no corrections) = 0.082 eV/atom
excess energy over the best structure of this formula in the dataset = 62 meV per atom


HgSbPb4: optimized geometry, PBE.

Cell: 9.109 9.109 11.672 Å, 90.00 90.00 158.07°
Sites, in units of the cell vectors:
Hg: 0.221 0.779 0.500
Hg: 0.779 0.221 0.000
Sb: 0.347 0.653 0.747
Sb: 0.653 0.347 0.247
Pb: 0.011 0.989 0.751
Pb: 0.115 0.885 0.005
Pb: 0.315 0.685 0.255
Pb: 0.438 0.562 0.000
Pb: 0.562 0.438 0.500
Pb: 0.685 0.315 0.755
Pb: 0.885 0.115 0.505
Pb: 0.989 0.011 0.251

formation energy (no corrections) = 0.051 eV/atom
excess energy over the best structure of this formula in the dataset = 0 meV per atom


Hg4SbPb10: optimized geometry, PBE.

Cell: 9.017 9.017 9.017 Å, 99.50 99.50 132.05°
Sites, in units of the cell vectors:
Hg: 0.097 0.700 0.797
Hg: 0.300 0.097 0.397
Hg: 0.700 0.903 0.603
Hg: 0.903 0.300 0.203
Sb: 0.500 0.500 0.000
Pb: 0.043 0.349 0.898
Pb: 0.145 0.043 0.694
Pb: 0.250 0.750 0.500
Pb: 0.349 0.452 0.306
Pb: 0.452 0.145 0.102
Pb: 0.548 0.855 0.898
Pb: 0.651 0.548 0.694
Pb: 0.750 0.250 0.500
Pb: 0.855 0.957 0.306
Pb: 0.957 0.651 0.102

formation energy (no corrections) = 0.077 eV/atom


Hg2SbPb: optimized geometry, PBE.

Cell: 4.418 4.874 11.070 Å, 90.00 98.32 90.00°
Sites, in units of the cell vectors:
Hg: 0.021 0.250 0.373
Hg: 0.465 0.250 0.606
Hg: 0.535 0.750 0.394
Hg: 0.979 0.750 0.627
Sb: 0.357 0.750 0.879
Sb: 0.643 0.250 0.121
Pb: 0.121 0.750 0.136
Pb: 0.879 0.250 0.864

formation energy (no corrections) = 0.052 eV/atom


HgSbPb5: optimized geometry, PBE.

Cell: 4.930 4.930 9.256 Å, 90.00 90.00 90.00°
Sites, in units of the cell vectors:
Hg: 0.000 0.000 0.000
Sb: 0.000 0.000 0.500
Pb: 0.000 0.500 0.264
Pb: 0.000 0.500 0.736
Pb: 0.500 0.000 0.264
Pb: 0.500 0.000 0.736
Pb: 0.500 0.500 0.000

formation energy (no corrections) = 0.036 eV/atom
excess energy over the best structure of this formula in the dataset = 0 meV per atom


Hg2SbPb4: optimized geometry, PBE.

Cell: 7.179 7.179 4.313 Å, 90.00 90.00 97.36°
Sites, in units of the cell vectors:
Hg: 0.232 0.768 0.000
Hg: 0.768 0.232 0.000
Sb: 0.500 0.500 0.500
Pb: 0.000 0.500 0.500
Pb: 0.244 0.244 0.000
Pb: 0.500 0.000 0.500
Pb: 0.756 0.756 0.000

formation energy (no corrections) = 0.070 eV/atom
excess energy over the best structure of this formula in the dataset = 0 meV per atom


HgSb2Pb: optimized geometry, PBE.

Cell: 3.270 5.698 6.425 Å, 90.00 103.90 90.00°
Sites, in units of the cell vectors:
Hg: 0.000 0.000 0.000
Sb: 0.405 0.500 0.767
Sb: 0.595 0.500 0.233
Pb: 0.500 0.000 0.500

formation energy (no corrections) = 0.125 eV/atom
excess energy over the best structure of this formula in the dataset = 39 meV per atom


Hg5SbPb8: optimized geometry, PBE.

Cell: 8.189 8.189 8.189 Å, 108.95 108.95 110.53°
Sites, in units of the cell vectors:
Hg: 0.000 0.000 0.000
Hg: 0.254 0.625 0.113
Hg: 0.375 0.488 0.629
Hg: 0.512 0.141 0.887
Hg: 0.859 0.746 0.371
Sb: 0.750 0.250 0.500
Pb: 0.118 0.203 0.748
Pb: 0.134 0.720 0.743
Pb: 0.280 0.023 0.414
Pb: 0.455 0.370 0.252
Pb: 0.609 0.866 0.586
Pb: 0.630 0.882 0.085
Pb: 0.797 0.545 0.915
Pb: 0.977 0.391 0.257

formation energy (no corrections) = 0.041 eV/atom


HgSbPb2: optimized geometry, PBE.

Cell: 8.005 8.005 8.005 Å, 32.73 32.73 32.73°
Sites, in units of the cell vectors:
Hg: 0.000 0.000 0.000
Sb: 0.169 0.169 0.169
Pb: 0.582 0.582 0.582
Pb: 0.757 0.757 0.757

formation energy (no corrections) = 0.050 eV/atom
excess energy over the best structure of this formula in the dataset = 29 meV per atom


Hg4SbPb: optimized geometry, PBE.

Cell: 6.595 6.595 9.313 Å, 101.23 101.23 58.08°
Sites, in units of the cell vectors:
Hg: 0.012 0.012 0.170
Hg: 0.020 0.509 0.334
Hg: 0.476 0.476 0.655
Hg: 0.491 0.980 0.666
Hg: 0.509 0.020 0.334
Hg: 0.524 0.524 0.345
Hg: 0.980 0.491 0.666
Hg: 0.988 0.988 0.830
Sb: 0.000 0.500 0.000
Sb: 0.500 0.000 0.000
Pb: 0.000 0.000 0.500
Pb: 0.500 0.500 0.000

formation energy (no corrections) = 0.067 eV/atom
excess energy over the best structure of this formula in the dataset = 0 meV per atom


HgSb2Pb: optimized geometry, PBE.

Cell: 8.438 6.300 9.137 Å, 90.00 90.00 90.00°
Sites, in units of the cell vectors:
Hg: 0.008 0.250 0.224
Hg: 0.492 0.750 0.724
Hg: 0.508 0.250 0.276
Hg: 0.992 0.750 0.776
Sb: 0.008 0.250 0.777
Sb: 0.217 0.750 0.492
Sb: 0.283 0.250 0.992
Sb: 0.492 0.750 0.277
Sb: 0.508 0.250 0.723
Sb: 0.717 0.750 0.008
Sb: 0.783 0.250 0.508
Sb: 0.992 0.750 0.223
Pb: 0.222 0.250 0.505
Pb: 0.278 0.750 0.005
Pb: 0.722 0.250 0.995
Pb: 0.778 0.750 0.495

formation energy (no corrections) = 0.095 eV/atom
excess energy over the best structure of this formula in the dataset = 9 meV per atom